DFT (PBE) results for crystalline LiTbEr at its relaxed geometry.

* DOS at the Fermi energy: 3.198 states/eV per cell
* ΔE to the lowest computed polymorph: 56 meV per atom
* formation energy from the elements: 10.7 kJ/mol of atoms
* space-group type: P3m1 (156)
* total magnetic moment: 0.00 μB/atom

a b c (Å): 3.4563 3.4563 8.3054
angles (deg): 90.00 90.00 120.00
Fractional coordinates of all 3 atoms:
Li: 0.0000 0.0000 0.0000
Tb: 0.6667 0.3333 0.3334
Er: 0.3333 0.6667 0.6715